Tb2TmSn3PdPt2 | PBE | optimized geometry

```
data_Tb2TmSn3PdPt2
_chemical_formula_sum 'Tb4 Tm2 Sn6 Pd2 Pt4'
_space_group_name_H-M_alt 'A m m 2'
_space_group_IT_number 38
_cell_length_a 4.011
_cell_length_b 12.996
_cell_length_c 7.541
_cell_angle_alpha 90.00
_cell_angle_beta 90.00
_cell_angle_gamma 90.00
loop_
_space_group_symop_operation_xyz
'x,y,z'
'-x,-y,z'
'-x,y,z'
'x,-y,z'
'x,y+1/2,z+1/2'
'-x,-y+1/2,z+1/2'
'-x,y+1/2,z+1/2'
'x,-y+1/2,z+1/2'
loop_
_atom_site_label
_atom_site_fract_x
_atom_site_fract_y
_atom_site_fract_z
Tb1 0.000 0.204 0.000
Tm1 0.000 0.000 0.613
Sn1 0.500 0.000 0.947
Sn2 0.500 0.128 0.334
Pd1 0.000 0.000 0.207
Pt1 0.500 0.164 0.703
```

Values from the calculation:
Its total energy is -0.214 hartree per atom. As for the crystal system: orthorhombic.

---

Tm3Sn3PdPt2 | PBE | optimized geometry

```
data_Tm3Sn3PdPt2
_chemical_formula_sum 'Tm3 Sn3 Pd1 Pt2'
_space_group_name_H-M_alt 'P -6 2 m'
_space_group_IT_number 189
_space_group_name_Hall 'P -6 -2'
_cell_length_a 7.4996
_cell_length_b 7.4996
_cell_length_c 3.9550
_cell_angle_alpha 90.00
_cell_angle_beta 90.00
_cell_angle_gamma 120.00
loop_
_atom_site_label
_atom_site_fract_x
_atom_site_fract_y
_atom_site_fract_z
Tm1 0.0000 0.4076 0.0000
Sn1 0.0000 0.7403 0.5000
Pd1 0.0000 0.0000 0.0000
Pt1 0.3333 0.6667 0.5000
```

Values from the calculation:
Its total energy is -0.213 hartree per atom. As for the crystal system: hexagonal.

---

Y3Sn3Pd2Pt | PBE | optimized geometry

```
data_Y3Sn3Pd2Pt
_chemical_formula_sum 'Y3 Sn3 Pd2 Pt1'
_space_group_name_H-M_alt 'P -6 2 m'
_space_group_IT_number 189
_space_group_name_Hall 'P -6 -2'
_cell_length_a 7.5338
_cell_length_b 7.5338
_cell_length_c 4.0319
_cell_angle_alpha 90.00
_cell_angle_beta 90.00
_cell_angle_gamma 120.00
loop_
_atom_site_label
_atom_site_fract_x
_atom_site_fract_y
_atom_site_fract_z
Y1 0.0000 0.5943 0.0000
Sn1 0.0000 0.2585 0.5000
Pd1 0.3333 0.6667 0.5000
Pt1 0.0000 0.0000 0.0000
```

Values from the calculation:
Its total energy is -0.232 hartree per atom. As for the crystal system: hexagonal.

---

Y3Sn3PdPt2 | PBE | optimized geometry

```
data_Y3Sn3PdPt2
_chemical_formula_sum 'Y3 Sn3 Pd1 Pt2'
_space_group_name_H-M_alt 'P -6 2 m'
_space_group_IT_number 189
_space_group_name_Hall 'P -6 -2'
_cell_length_a 7.5344
_cell_length_b 7.5344
_cell_length_c 4.0305
_cell_angle_alpha 90.00
_cell_angle_beta 90.00
_cell_angle_gamma 120.00
loop_
_atom_site_label
_atom_site_fract_x
_atom_site_fract_y
_atom_site_fract_z
Y1 0.0000 0.5937 0.0000
Sn1 0.0000 0.2584 0.5000
Pd1 0.0000 0.0000 0.0000
Pt1 0.3333 0.6667 0.5000
```

Values from the calculation:
Its total energy is -0.237 hartree per atom. As for the crystal system: hexagonal.

---

SrPdPt | PBE | optimized geometry

```
data_SrPdPt
_chemical_formula_sum 'Sr4 Pd4 Pt4'
_space_group_name_H-M_alt 'F -4 3 m'
_space_group_IT_number 216
_space_group_name_Hall 'F -4 2 3'
_cell_length_a 6.722
_cell_length_b 6.722
_cell_length_c 6.722
_cell_angle_alpha 90.00
_cell_angle_beta 90.00
_cell_angle_gamma 90.00
loop_
_atom_site_label
_atom_site_fract_x
_atom_site_fract_y
_atom_site_fract_z
Sr1 0.000 0.000 0.000
Pd1 0.250 0.250 0.750
Pt1 0.250 0.250 0.250
```

Values from the calculation:
As for the crystal system: cubic. The calculation puts the energy above the most stable polymorph in this dataset at 906 meV/atom.

---

Sr3Pd7Pt2 | PBE | optimized geometry

```
data_Sr3Pd7Pt2
_chemical_formula_sum 'Sr9 Pd21 Pt6'
_space_group_name_H-M_alt 'R -3 m'
_space_group_IT_number 166
_space_group_name_Hall '-R 3 2"'
_cell_length_a 5.5293
_cell_length_b 5.5293
_cell_length_c 26.8193
_cell_angle_alpha 90.00
_cell_angle_beta 90.00
_cell_angle_gamma 120.00
loop_
_atom_site_label
_atom_site_fract_x
_atom_site_fract_y
_atom_site_fract_z
Sr1 0.0000 0.0000 0.0000
Sr2 0.0000 0.0000 0.1398
Pd1 0.0000 0.0000 0.5000
Pd2 0.0019 0.5009 0.9177
Pt1 0.0000 0.0000 0.3327
```

Values from the calculation:
Its total energy is -0.183 hartree per atom. As for the crystal system: trigonal.

---

Sr3Pd8Pt | PBE | optimized geometry

```
data_Sr3Pd8Pt
_chemical_formula_sum 'Sr9 Pd24 Pt3'
_space_group_name_H-M_alt 'R -3 m'
_space_group_IT_number 166
_space_group_name_Hall '-R 3 2"'
_cell_length_a 5.4998
_cell_length_b 5.4998
_cell_length_c 26.9184
_cell_angle_alpha 90.00
_cell_angle_beta 90.00
_cell_angle_gamma 120.00
loop_
_atom_site_label
_atom_site_fract_x
_atom_site_fract_y
_atom_site_fract_z
Sr1 0.0000 0.0000 0.0000
Sr2 0.0000 0.0000 0.1404
Pd1 0.0000 0.0000 0.3323
Pd2 0.0010 0.5005 0.9163
Pt1 0.0000 0.0000 0.5000
```

Values from the calculation:
Its total energy is -0.181 hartree per atom. As for the crystal system: trigonal.

---

SrPdPt | PBE | optimized geometry

```
data_SrPdPt
_chemical_formula_sum 'Sr4 Pd4 Pt4'
_space_group_name_H-M_alt 'F -4 3 m'
_space_group_IT_number 216
_space_group_name_Hall 'F -4 2 3'
_cell_length_a 6.689
_cell_length_b 6.689
_cell_length_c 6.689
_cell_angle_alpha 90.00
_cell_angle_beta 90.00
_cell_angle_gamma 90.00
loop_
_atom_site_label
_atom_site_fract_x
_atom_site_fract_y
_atom_site_fract_z
Sr1 0.000 0.000 0.000
Pd1 0.000 0.000 0.500
Pt1 0.250 0.250 0.750
```

Values from the calculation:
As for the crystal system: cubic. The calculation puts the energy above the most stable polymorph in this dataset at 492 meV/atom.

---

SrPdPt | PBE | optimized geometry

```
data_SrPdPt
_chemical_formula_sum 'Sr4 Pd4 Pt4'
_space_group_name_H-M_alt 'I m m a'
_space_group_IT_number 74
_space_group_name_Hall '-I 2b 2'
_cell_length_a 5.540
_cell_length_b 5.605
_cell_length_c 7.909
_cell_angle_alpha 90.00
_cell_angle_beta 90.00
_cell_angle_gamma 90.00
loop_
_atom_site_label
_atom_site_fract_x
_atom_site_fract_y
_atom_site_fract_z
Sr1 0.000 0.250 0.123
Pd1 0.000 0.000 0.500
Pt1 0.250 0.250 0.750
```

Values from the calculation:
As for the crystal system: orthorhombic. The calculation puts the energy above the most stable polymorph in this dataset at 0 meV/atom.

---

SrPd2Pt | PBE | optimized geometry

```
data_SrPd2Pt
_chemical_formula_sum 'Sr9 Pd18 Pt9'
_space_group_name_H-M_alt 'R -3 m'
_space_group_IT_number 166
_space_group_name_Hall '-R 3 2"'
_cell_length_a 5.5299
_cell_length_b 5.5299
_cell_length_c 26.7927
_cell_angle_alpha 90.00
_cell_angle_beta 90.00
_cell_angle_gamma 120.00
loop_
_atom_site_label
_atom_site_fract_x
_atom_site_fract_y
_atom_site_fract_z
Sr1 0.0000 0.0000 0.0000
Sr2 0.0000 0.0000 0.1405
Pd1 0.0010 0.5005 0.9172
Pt1 0.0000 0.0000 0.3321
Pt2 0.0000 0.0000 0.5000
```

Values from the calculation:
Its total energy is -0.187 hartree per atom. As for the crystal system: trigonal.

---

TaPd2Pt | PBE | optimized geometry

```
data_TaPd2Pt
_chemical_formula_sum 'Ta2 Pd4 Pt2'
_space_group_name_H-M_alt 'P m m n'
_space_group_IT_number 59
_cell_length_a 4.597
_cell_length_b 5.523
_cell_length_c 4.942
_cell_angle_alpha 90.00
_cell_angle_beta 90.00
_cell_angle_gamma 90.00
loop_
_space_group_symop_operation_xyz
'x,y,z'
'-x,-y,-z'
'-x+1/2,-y+1/2,z'
'x+1/2,y+1/2,-z'
'x+1/2,-y,-z'
'-x+1/2,y,z'
'-x,y+1/2,-z'
'x,-y+1/2,z'
loop_
_atom_site_label
_atom_site_fract_x
_atom_site_fract_y
_atom_site_fract_z
Ta1 0.250 0.250 0.150
Pd1 0.250 0.501 0.657
Pt1 0.250 0.750 0.150
```

Values from the calculation:
Its formation energy is -0.577 eV per atom. As for the crystal system: orthorhombic.

---

Tb4Pd3Pt | PBE | optimized geometry

```
data_Tb4Pd3Pt
_chemical_formula_sum 'Tb4 Pd3 Pt1'
_space_group_name_H-M_alt 'P 1 m 1'
_space_group_IT_number 6
_cell_length_a 5.668
_cell_length_b 4.421
_cell_length_c 7.168
_cell_angle_alpha 90.00
_cell_angle_beta 90.07
_cell_angle_gamma 90.00
loop_
_space_group_symop_operation_xyz
'x,y,z'
'x,-y,z'
loop_
_atom_site_label
_atom_site_fract_x
_atom_site_fract_y
_atom_site_fract_z
Tb1 0.000 0.000 0.000
Tb2 0.214 0.000 0.507
Tb3 0.498 0.500 0.865
Tb4 0.718 0.500 0.366
Pd1 0.206 0.500 0.230
Pd2 0.510 0.000 0.142
Pd3 0.701 0.000 0.639
Pt1 0.011 0.500 0.730
```

Values from the calculation:
Its formation energy is -1.008 eV per atom. As for the crystal system: monoclinic.

---

TbPdPt | PBE | optimized geometry

```
data_TbPdPt
_chemical_formula_sum 'Tb4 Pd4 Pt4'
_space_group_name_H-M_alt 'F -4 3 m'
_space_group_IT_number 216
_space_group_name_Hall 'F -4 2 3'
_cell_length_a 6.482
_cell_length_b 6.482
_cell_length_c 6.482
_cell_angle_alpha 90.00
_cell_angle_beta 90.00
_cell_angle_gamma 90.00
loop_
_atom_site_label
_atom_site_fract_x
_atom_site_fract_y
_atom_site_fract_z
Tb1 0.000 0.000 0.000
Pd1 0.000 0.000 0.500
Pt1 0.250 0.250 0.750
```

Values from the calculation:
Its formation energy is -0.734 eV per atom. As for the crystal system: cubic. The calculation puts the energy above the most stable polymorph in this dataset at 0 meV/atom.

---

TcPdPt | PBE | optimized geometry

```
data_TcPdPt
_chemical_formula_sum 'Tc4 Pd4 Pt4'
_space_group_name_H-M_alt 'F -4 3 m'
_space_group_IT_number 216
_space_group_name_Hall 'F -4 2 3'
_cell_length_a 5.982
_cell_length_b 5.982
_cell_length_c 5.982
_cell_angle_alpha 90.00
_cell_angle_beta 90.00
_cell_angle_gamma 90.00
loop_
_atom_site_label
_atom_site_fract_x
_atom_site_fract_y
_atom_site_fract_z
Tc1 0.000 0.000 0.000
Pd1 0.000 0.000 0.500
Pt1 0.250 0.250 0.750
```

Values from the calculation:
Its formation energy is 0.479 eV per atom. As for the crystal system: cubic. The calculation puts the energy above the most stable polymorph in this dataset at 0 meV/atom.

---

Tc6PdPt | PBE | optimized geometry

```
data_Tc6PdPt
_chemical_formula_sum 'Tc6 Pd1 Pt1'
_space_group_name_H-M_alt 'P -6 m 2'
_space_group_IT_number 187
_space_group_name_Hall 'P -6 2'
_cell_length_a 5.5464
_cell_length_b 5.5464
_cell_length_c 4.3978
_cell_angle_alpha 90.00
_cell_angle_beta 90.00
_cell_angle_gamma 120.00
loop_
_atom_site_label
_atom_site_fract_x
_atom_site_fract_y
_atom_site_fract_z
Tc1 0.0145 0.5073 0.0000
Tc2 0.1753 0.3505 0.5000
Pd1 0.6667 0.3333 0.5000
Pt1 0.0000 0.0000 0.0000
```

Values from the calculation:
Its formation energy is -0.173 eV per atom. As for the crystal system: hexagonal.

---

Tl2Te6PdPt3 | PBE | optimized geometry

```
data_Tl2Te6PdPt3
_chemical_formula_sum 'Tl2 Te6 Pd1 Pt3'
_space_group_name_H-M_alt 'P -3 m 1'
_space_group_IT_number 164
_space_group_name_Hall '-P 3 2"'
_cell_length_a 8.0879
_cell_length_b 8.0879
_cell_length_c 5.8190
_cell_angle_alpha 90.00
_cell_angle_beta 90.00
_cell_angle_gamma 120.00
loop_
_atom_site_label
_atom_site_fract_x
_atom_site_fract_y
_atom_site_fract_z
Tl1 0.3333 0.6667 0.1819
Te1 0.1702 0.3405 0.7287
Pd1 0.0000 0.0000 0.5000
Pt1 0.0000 0.5000 0.5000
```

Values from the calculation:
Its total energy is -0.159 hartree per atom. As for the crystal system: trigonal.

---

ThPdPt4 | PBE | optimized geometry

```
data_ThPdPt4
_chemical_formula_sum 'Th4 Pd4 Pt16'
_space_group_name_H-M_alt 'F -4 3 m'
_space_group_IT_number 216
_space_group_name_Hall 'F -4 2 3'
_cell_length_a 7.612
_cell_length_b 7.612
_cell_length_c 7.612
_cell_angle_alpha 90.00
_cell_angle_beta 90.00
_cell_angle_gamma 90.00
loop_
_atom_site_label
_atom_site_fract_x
_atom_site_fract_y
_atom_site_fract_z
Th1 0.000 0.000 0.000
Pd1 0.250 0.250 0.750
Pt1 0.124 0.124 0.376
```

Values from the calculation:
Its formation energy is -0.837 eV per atom. As for the crystal system: cubic.

---

ThPdPt | PBE | optimized geometry

```
data_ThPdPt
_chemical_formula_sum 'Th2 Pd2 Pt2'
_space_group_name_H-M_alt 'P 4/n m m'
_space_group_IT_number 129
_cell_length_a 4.192
_cell_length_b 4.192
_cell_length_c 7.279
_cell_angle_alpha 90.00
_cell_angle_beta 90.00
_cell_angle_gamma 90.00
loop_
_space_group_symop_operation_xyz
'x,y,z'
'-x,-y,-z'
'-y+1/2,x,z'
'y+1/2,-x,-z'
'-x+1/2,-y+1/2,z'
'x+1/2,y+1/2,-z'
'y,-x+1/2,z'
'-y,x+1/2,-z'
'x+1/2,-y,-z'
'-x+1/2,y,z'
'-y,-x,-z'
'y,x,z'
'-x,y+1/2,-z'
'x,-y+1/2,z'
'y+1/2,x+1/2,-z'
'-y+1/2,-x+1/2,z'
loop_
_atom_site_label
_atom_site_fract_x
_atom_site_fract_y
_atom_site_fract_z
Th1 0.250 0.250 0.187
Pd1 0.250 0.750 0.500
Pt1 0.250 0.250 0.775
```

Values from the calculation:
Its formation energy is -1.119 eV per atom. As for the crystal system: tetragonal. The calculation puts the energy above the most stable polymorph in this dataset at 0 meV/atom.

---

ThPdPt | PBE | optimized geometry

```
data_ThPdPt
_chemical_formula_sum 'Th4 Pd4 Pt4'
_space_group_name_H-M_alt 'F -4 3 m'
_space_group_IT_number 216
_space_group_name_Hall 'F -4 2 3'
_cell_length_a 6.726
_cell_length_b 6.726
_cell_length_c 6.726
_cell_angle_alpha 90.00
_cell_angle_beta 90.00
_cell_angle_gamma 90.00
loop_
_atom_site_label
_atom_site_fract_x
_atom_site_fract_y
_atom_site_fract_z
Th1 0.000 0.000 0.000
Pd1 0.250 0.250 0.750
Pt1 0.250 0.250 0.250
```

Values from the calculation:
Its formation energy is -0.632 eV per atom. As for the crystal system: cubic. The calculation puts the energy above the most stable polymorph in this dataset at 487 meV/atom.

---

ThPdPt | PBE | optimized geometry

```
data_ThPdPt
_chemical_formula_sum 'Th4 Pd4 Pt4'
_space_group_name_H-M_alt 'F -4 3 m'
_space_group_IT_number 216
_space_group_name_Hall 'F -4 2 3'
_cell_length_a 6.617
_cell_length_b 6.617
_cell_length_c 6.617
_cell_angle_alpha 90.00
_cell_angle_beta 90.00
_cell_angle_gamma 90.00
loop_
_atom_site_label
_atom_site_fract_x
_atom_site_fract_y
_atom_site_fract_z
Th1 0.000 0.000 0.000
Pd1 0.000 0.000 0.500
Pt1 0.250 0.250 0.750
```

Values from the calculation:
Its formation energy is -0.822 eV per atom. As for the crystal system: cubic. The calculation puts the energy above the most stable polymorph in this dataset at 297 meV/atom.